This record from Alexandria describes a relaxed structure of Y3CrS. The functional is GGA-PBE.

- DOS(E_F): 7.76 states/eV/f.u.
- Total magnetization: 0.27 μB/cell
- DFT total energy: -6.62 eV per atom
- Energy relative to the elements, uncorrected: 0.00 eV/atom
- Energy above the lowest structure with this stoichiometry: 0 meV/atom

POSCAR file:
```
Y3CrS
1.0
-2.0103 -4.4215 1.6669
4.6055 -2.2387 -0.3838
1.0572 1.3448 4.8418
Y S Cr
3 1 1
Direct
0.5000 0.0000 0.0000
0.0000 0.0000 0.5000
0.0000 0.5000 0.0000
0.0000 0.0000 0.0000
0.5000 0.5000 0.5000
```